No. 1
The following is a PBE calculation of a relaxed structure of Rb3GaSi, from the Alexandria database.

Properties
For the relative energy among the computed polymorphs, the calculation gives 0.0 meV/atom. The formation energy without anion corrections is 55.9 kJ per mole of atoms.

```
5
Lattice="6.8024 0.0000 0.0000 0.0000 6.8024 0.0000 0.0000 0.0000 6.8024" Properties=species:S:1:pos:R:3 pbc="T T T"
Rb 0.0000 0.0000 3.4012
Rb 0.0000 3.4012 0.0000
Rb 3.4012 0.0000 0.0000
Ga 3.4012 3.4012 3.4012
Si 0.0000 0.0000 0.0000
```

No. 2
The following is a PBE calculation of a relaxed structure of CaSc3Ni8, from the Alexandria database.

Properties
Its energy of formation is -0.42 eV per atom.

```
12
Lattice="2.4663 1.4239 8.0631 -2.4663 1.4239 8.0631 0.0000 -2.8478 8.0631" Properties=species:S:1:pos:R:3 pbc="T T T"
Ca 0.0000 0.0000 0.0000
Sc 0.0000 0.0000 3.0385
Sc 0.0000 0.0000 12.0952
Sc 0.0000 0.0000 15.0963
Ni 0.0000 -1.4090 5.4955
Ni -1.2202 0.7045 5.4955
Ni -1.2232 -0.7062 9.6352
Ni 0.0000 0.0000 7.5575
Ni 1.2202 0.7045 5.4955
Ni 1.2232 -0.7062 9.6352
Ni 0.0000 1.4124 9.6352
Ni 0.0000 0.0000 19.6598
```

No. 3
The following is a PBE calculation of a relaxed structure of Tm2InRh3, from the Alexandria database.

Properties
For the relative energy among the computed polymorphs, the calculation gives 0.0 meV/atom. Its energy of formation is -0.86 eV per atom.

```
12
Lattice="4.6975 0.0000 0.0000 -2.3488 4.0682 0.0000 0.0000 0.0000 11.5188" Properties=species:S:1:pos:R:3 pbc="T T T"
Tm 0.0000 0.0000 0.0000
Tm 0.0000 0.0000 5.7594
Tm 0.0000 2.7121 2.0305
Tm 2.3488 1.3561 9.4883
In 0.0000 2.7121 7.6653
In 2.3488 1.3561 3.8535
Rh 0.0000 0.0000 2.8890
Rh 0.0000 0.0000 8.6298
Rh 0.0000 2.7121 4.8387
Rh 0.0000 2.7121 10.5549
Rh 2.3488 1.3561 0.9639
Rh 2.3488 1.3561 6.6801
```

One value per record, in order, for V: 62.95; 14.16; 18.34 Å³/atom.
One value per record, in order, for spin magnetization: 0.023; 0.000; 0.000 μB per formula unit.
One value per record, in order, for uncorrected energy: -1.69; -6.03; -6.48 eV per atom.